{"formula": "Na2CoAgO4", "functional": "GGA+U", "state": "relaxed", "lattice": [[5.8452, 0.0000, 0.0000], [0.0000, 5.8452, 0.0000], [0.0000, 0.0000, 6.2722]], "species": ["Na", "Na", "Na", "Na", "Co", "Co", "Ag", "Ag", "O", "O", "O", "O", "O", "O", "O", "O"], "frac_coords": [[0.0000, 0.0000, 0.0000], [0.0000, 0.5000, 0.2500], [0.5000, 0.0000, 0.7500], [0.5000, 0.5000, 0.5000], [0.0000, 0.0000, 0.5000], [0.5000, 0.5000, 0.0000], [0.0000, 0.5000, 0.7500], [0.5000, 0.0000, 0.2500], [0.1573, 0.8112, 0.6844], [0.1888, 0.1573, 0.3156], [0.3112, 0.3427, 0.8156], [0.3427, 0.6888, 0.1844], [0.6573, 0.3112, 0.1844], [0.6888, 0.6573, 0.8156], [0.8112, 0.8427, 0.3156], [0.8427, 0.1888, 0.6844]], "dft_energy_ry_per_atom": -0.3447, "crystal_system": "tetragonal", "density_g_cm3": 4.3}